A PBEsol-optimized structure of YScTl2, computed with SCAN.

Computed properties:
total magnetization = 0.000 μB/atom
crystal system = monoclinic
DFT formation energy = -41.30 kJ per mole of atoms
final energy = -47.127 eV per atom
SG = No. 12

a b c (Å): 3.670 5.092 6.104
angles (deg): 103.12 90.00 111.13
Sites, in units of the cell vectors:
Y  0.000  0.000  0.500
Sc  0.500  0.000  0.000
Tl  0.755  0.511  0.773
Tl  0.245  0.489  0.227